{
  "formula": "Ba2CoBiO5",
  "functional": "GGA+U",
  "state": "optimized geometry",
  "cell": [[1.810, -7.294, 0.000], [1.810, 7.294, 0.000], [0.000, 0.000, 12.316]],
  "species": ["Ba", "Ba", "Ba", "Ba", "Co", "Co", "Bi", "Bi", "O", "O", "O", "O", "O", "O", "O", "O", "O", "O"],
  "frac_coords": [[0.087, 0.913, 0.500], [0.152, 0.848, 0.192], [0.848, 0.152, 0.692], [0.913, 0.087, 0.000], [0.452, 0.548, 0.257], [0.548, 0.452, 0.757], [0.196, 0.804, 0.911], [0.804, 0.196, 0.411], [0.017, 0.983, 0.817], [0.270, 0.730, 0.533], [0.326, 0.674, 0.282], [0.335, 0.665, 0.861], [0.491, 0.509, 0.626], [0.509, 0.491, 0.126], [0.665, 0.335, 0.361], [0.674, 0.326, 0.782], [0.730, 0.270, 0.033], [0.983, 0.017, 0.317]],
  "total_magnetization_mub_per_fu": 4.0,
  "e_tot_ev_per_atom": -5.965
}